Below is a relaxed Nd2Zn2BiRh5 crystal, with properties calculated at the PBE level.

abc: 3.7601 9.8565 9.8565
angles: 90.00 90.00 90.00
Fractional positions:
Nd 0.0000 0.8243 0.6757
Nd 0.0000 0.1757 0.3243
Nd 0.0000 0.3243 0.8243
Nd 0.0000 0.6757 0.1757
Rh 0.5000 0.0682 0.7878
Rh 0.5000 0.2122 0.0682
Rh 0.5000 0.7878 0.9318
Rh 0.5000 0.4318 0.2878
Rh 0.5000 0.7122 0.4318
Rh 0.5000 0.5682 0.7122
Rh 0.5000 0.9318 0.2122
Rh 0.5000 0.2878 0.5682
Rh 0.5000 0.5000 0.0000
Rh 0.5000 0.0000 0.5000
Zn 0.0000 0.8792 0.3792
Zn 0.0000 0.3792 0.1208
Zn 0.0000 0.1208 0.6208
Zn 0.0000 0.6208 0.8792
Bi 0.0000 0.5000 0.5000
Bi 0.0000 0.0000 0.0000

Results
final energy = -116.35 eV for the cell shown
DOS(E_F) = 14.08 states/eV per cell
size of the total moment = 0.00 Bohr magnetons per cell
space group = No. 127
formation energy from the elements = -0.545 eV/atom